RbHg2GeIr | GGA-PBE | relaxed

SG	No. 123
DOS at the Fermi energy	0.9914	states/eV/atom
energy of formation from the pure elements	1736	meV per atom
energy relative to the lowest polymorph listed for this composition	9.45	eV per formula unit

Lattice parameters (Å, degrees): 5.9822 5.1665 5.9822 90.00 90.00 90.00
Fractional coordinates of all 5 atoms:
Ge 0.5000 0.5000 0.5000
Hg 0.5000 0.0000 0.0000
Hg 0.0000 0.0000 0.5000
Rb 0.0000 0.0000 0.0000
Ir 0.0000 0.5000 0.0000